Entry 1:
Density functional theory data (PBE) for a geometry-optimized KLi2ZnPd structure.

Structure (POSCAR):
```
KLi2ZnPd
1.0
-1.030 2.585 4.116
-4.854 -0.334 -1.005
-0.248 -4.257 2.612
Zn K Pd Li
1 1 1 2
direct
0.000 0.000 0.500
0.500 0.500 0.500
0.000 0.000 0.000
0.000 0.500 0.000
0.500 0.000 0.000
```

Summary:
* E_form: -124.5 meV per atom
* uncorrected energy: -2.403 eV per atom

Entry 2:
Density functional theory data (PBE) for a geometry-optimized In6Hg2Bi3 structure.

Structure (POSCAR):
```
In6Hg2Bi3
1.0
3.423 0.000 0.210
1.705 2.968 0.210
-0.193 -0.112 31.154
In Hg Bi
6 2 3
direct
0.905 0.905 0.284
0.095 0.095 0.716
0.819 0.819 0.544
0.181 0.181 0.456
0.635 0.635 0.095
0.365 0.365 0.905
0.543 0.543 0.371
0.457 0.457 0.629
0.000 0.000 0.000
0.731 0.731 0.808
0.269 0.269 0.192
```

Summary:
* E_form: 39.9 meV per atom
* uncorrected energy: -2.567 eV per atom

Entry 3:
Density functional theory data (PBE) for a geometry-optimized AgTeOs structure.

Structure (POSCAR):
```
AgTeOs
1.0
7.996 -0.007 0.005
7.151 2.902 0.012
0.845 -1.268 2.618
Te Os Ag
1 1 1
direct
0.689 0.689 0.311
0.328 0.328 0.672
0.983 0.983 0.017
```

Summary:
* distance to the lowest polymorph of the same formula: 0.460 eV/atom
* formation energy without anion corrections: 0.88 eV per atom
* uncorrected energy: -4.859 eV per atom

Entry 4:
Density functional theory data (PBE) for a geometry-optimized Y4CoPb structure.

Structure (POSCAR):
```
Y4CoPb
1.0
-4.100 3.753 -2.339
-1.412 -6.647 -4.156
-2.501 -0.548 7.543
Y Co Pb
8 2 2
direct
0.864 0.642 0.792
0.057 0.946 0.270
0.636 0.208 0.358
0.443 0.730 0.054
0.557 0.270 0.946
0.364 0.792 0.642
0.943 0.054 0.730
0.136 0.358 0.208
0.250 0.000 0.000
0.750 0.000 0.000
0.750 0.629 0.371
0.250 0.371 0.629
```

Summary:
* distance to the lowest polymorph of the same formula: 0.000 eV/atom
* E_form: -289.7 meV per atom
* uncorrected energy: -6.401 eV per atom